Record 1
Sr2Cd6Pd3: relaxed, PBE.

Calculated values
ΔE_f in kcal/mol of atoms: -8.90
Mass density in g/cm³: 7.14
M_tot in Bohr magnetons per cell: 0.00
Total energy in eV/atom: -2.61

The structure in CIF format:
```
data_Sr2Cd6Pd3
_space_group_name_H-M_alt 'P -6 2 m'
_space_group_IT_number 189
_space_group_name_Hall 'P -6 -2'
_cell_length_a 8.3245
_cell_length_b 8.3245
_cell_length_c 4.5301
_cell_angle_alpha 90.00
_cell_angle_beta 90.00
_cell_angle_gamma 120.00
loop_
_atom_site_label
_atom_site_type_symbol
_atom_site_fract_x
_atom_site_fract_y
_atom_site_fract_z
Sr1 Sr 0.3333 0.6667 0.0000
Cd1 Cd 0.0000 0.2038 0.0000
Cd2 Cd 0.0000 0.7166 0.5000
Pd1 Pd 0.0000 0.3875 0.5000
```

Record 2
Sr5Cd2Pd: relaxed, PBE.

Calculated values
ΔE_f in kcal/mol of atoms: -7.68
Mass density in g/cm³: 4.17
M_tot in Bohr magnetons per cell: 0.00
Total energy in eV/atom: -2.26

The structure in CIF format:
```
data_Sr5Cd2Pd
_space_group_name_H-M_alt 'P b a m'
_space_group_IT_number 55
_cell_length_a 9.316
_cell_length_b 13.884
_cell_length_c 4.738
_cell_angle_alpha 90.00
_cell_angle_beta 90.00
_cell_angle_gamma 90.00
loop_
_space_group_symop_operation_xyz
'x,y,z'
'-x,-y,-z'
'-x,-y,z'
'x,y,-z'
'x+1/2,-y+1/2,-z'
'-x+1/2,y+1/2,z'
'-x+1/2,y+1/2,-z'
'x+1/2,-y+1/2,z'
loop_
_atom_site_label
_atom_site_type_symbol
_atom_site_fract_x
_atom_site_fract_y
_atom_site_fract_z
Sr1 Sr 0.000 0.000 0.000
Sr2 Sr 0.155 0.307 0.000
Sr3 Sr 0.175 0.580 0.500
Cd1 Cd 0.055 0.827 0.500
Pd1 Pd 0.000 0.500 0.000
```

Record 3
SrCdPd2: relaxed, PBE.

Calculated values
ΔE_f in kcal/mol of atoms: -9.60
Mass density in g/cm³: 8.17
M_tot in Bohr magnetons per cell: 0.00
Total energy in eV/atom: -3.66

The structure in CIF format:
```
data_SrCdPd2
_space_group_name_H-M_alt 'P 4/m m m'
_space_group_IT_number 123
_space_group_name_Hall '-P 4 2'
_cell_length_a 4.772
_cell_length_b 4.772
_cell_length_c 3.685
_cell_angle_alpha 90.00
_cell_angle_beta 90.00
_cell_angle_gamma 90.00
loop_
_atom_site_label
_atom_site_type_symbol
_atom_site_fract_x
_atom_site_fract_y
_atom_site_fract_z
Sr1 Sr 0.000 0.000 0.000
Cd1 Cd 0.500 0.500 0.000
Pd1 Pd 0.000 0.500 0.500
```

Record 4
SrCdPd2: relaxed, PBE.

Calculated values
ΔE_f in kcal/mol of atoms: -7.19
Mass density in g/cm³: 6.58
M_tot in Bohr magnetons per cell: 0.00
Total energy in eV/atom: -3.56

The structure in CIF format:
```
data_SrCdPd2
_space_group_name_H-M_alt 'P m m a'
_space_group_IT_number 51
_cell_length_a 5.760
_cell_length_b 5.408
_cell_length_c 13.378
_cell_angle_alpha 90.00
_cell_angle_beta 90.00
_cell_angle_gamma 90.00
loop_
_space_group_symop_operation_xyz
'x,y,z'
'-x,-y,-z'
'-x+1/2,-y,z'
'x+1/2,y,-z'
'x+1/2,-y,-z'
'-x+1/2,y,z'
'-x,y,-z'
'x,-y,z'
loop_
_atom_site_label
_atom_site_type_symbol
_atom_site_fract_x
_atom_site_fract_y
_atom_site_fract_z
Sr1 Sr 0.250 0.000 0.086
Sr2 Sr 0.250 0.500 0.399
Cd1 Cd 0.250 0.000 0.809
Cd2 Cd 0.250 0.500 0.823
Pd1 Pd 0.000 0.000 0.500
Pd2 Pd 0.000 0.500 0.000
Pd3 Pd 0.250 0.254 0.637
```

Record 5
SrCd4Pd2: relaxed, PBE.

Calculated values
ΔE_f in kcal/mol of atoms: -9.86
Mass density in g/cm³: 7.85
M_tot in Bohr magnetons per cell: 0.00
Total energy in eV/atom: -2.67

The structure in CIF format:
```
data_SrCd4Pd2
_space_group_name_H-M_alt 'P 42/m n m'
_space_group_IT_number 136
_space_group_name_Hall '-P 4n 2n'
_cell_length_a 8.353
_cell_length_b 8.353
_cell_length_c 4.550
_cell_angle_alpha 90.00
_cell_angle_beta 90.00
_cell_angle_gamma 90.00
loop_
_atom_site_label
_atom_site_type_symbol
_atom_site_fract_x
_atom_site_fract_y
_atom_site_fract_z
Sr1 Sr 0.000 0.000 0.000
Cd1 Cd 0.091 0.342 0.500
Pd1 Pd 0.223 0.777 0.500
```

Record 6
Sr2Cd15Pd2: relaxed, PBE.

Calculated values
ΔE_f in kcal/mol of atoms: -4.33
Mass density in g/cm³: 7.81
M_tot in Bohr magnetons per cell: 0.00
Total energy in eV/atom: -1.63

The structure in CIF format:
```
data_Sr2Cd15Pd2
_space_group_name_H-M_alt 'R -3 m'
_space_group_IT_number 166
_space_group_name_Hall '-R 3 2"'
_cell_length_a 10.1176
_cell_length_b 10.1176
_cell_length_c 14.9318
_cell_angle_alpha 90.00
_cell_angle_beta 90.00
_cell_angle_gamma 120.00
loop_
_atom_site_label
_atom_site_type_symbol
_atom_site_fract_x
_atom_site_fract_y
_atom_site_fract_z
Sr1 Sr 0.0000 0.0000 0.1688
Cd1 Cd 0.0000 0.2865 0.5000
Cd2 Cd 0.0000 0.5000 0.0000
Cd3 Cd 0.0010 0.5005 0.6483
Pd1 Pd 0.0000 0.0000 0.3945
```

Record 7
Sr8CdPd2: relaxed, PBE.

Calculated values
ΔE_f in kcal/mol of atoms: -6.23
Mass density in g/cm³: 3.89
M_tot in Bohr magnetons per cell: 0.00
Total energy in eV/atom: -2.52

The structure in CIF format:
```
data_Sr8CdPd2
_space_group_name_H-M_alt 'C 1 m 1'
_space_group_IT_number 8
_cell_length_a 9.752
_cell_length_b 14.401
_cell_length_c 6.432
_cell_angle_alpha 90.00
_cell_angle_beta 104.01
_cell_angle_gamma 90.00
loop_
_space_group_symop_operation_xyz
'x,y,z'
'x,-y,z'
'x+1/2,y+1/2,z'
'x+1/2,-y+1/2,z'
loop_
_atom_site_label
_atom_site_type_symbol
_atom_site_fract_x
_atom_site_fract_y
_atom_site_fract_z
Sr1 Sr 0.000 0.000 0.000
Sr2 Sr 0.080 0.366 0.794
Sr3 Sr 0.179 0.133 0.618
Sr4 Sr 0.255 0.500 0.404
Sr5 Sr 0.380 0.239 0.205
Cd1 Cd 0.377 0.000 0.110
Pd1 Pd 0.379 0.312 0.702
```

Record 8
Sr2CdPd: relaxed, PBE.

Calculated values
ΔE_f in kcal/mol of atoms: -10.04
Mass density in g/cm³: 5.54
M_tot in Bohr magnetons per cell: 0.00
Total energy in eV/atom: -2.80

The structure in CIF format:
```
data_Sr2CdPd
_space_group_name_H-M_alt 'P 4/m m m'
_space_group_IT_number 123
_space_group_name_Hall '-P 4 2'
_cell_length_a 3.872
_cell_length_b 3.872
_cell_length_c 7.875
_cell_angle_alpha 90.00
_cell_angle_beta 90.00
_cell_angle_gamma 90.00
loop_
_atom_site_label
_atom_site_type_symbol
_atom_site_fract_x
_atom_site_fract_y
_atom_site_fract_z
Sr1 Sr 0.000 0.000 0.228
Cd1 Cd 0.500 0.500 0.500
Pd1 Pd 0.500 0.500 0.000
```

Record 9
SrCd2Pd3: relaxed, PBE.

Calculated values
ΔE_f in kcal/mol of atoms: -9.48
Mass density in g/cm³: 7.68
M_tot in Bohr magnetons per cell: 0.00
Total energy in eV/atom: -3.59

The structure in CIF format:
```
data_SrCd2Pd3
_space_group_name_H-M_alt 'C m c m'
_space_group_IT_number 63
_space_group_name_Hall '-C 2c 2'
_cell_length_a 10.305
_cell_length_b 9.320
_cell_length_c 5.690
_cell_angle_alpha 90.00
_cell_angle_beta 90.00
_cell_angle_gamma 90.00
loop_
_atom_site_label
_atom_site_type_symbol
_atom_site_fract_x
_atom_site_fract_y
_atom_site_fract_z
Sr1 Sr 0.000 0.224 0.250
Cd1 Cd 0.230 0.500 0.000
Pd1 Pd 0.000 0.442 0.750
Pd2 Pd 0.197 0.241 0.750
```

Record 10
SrCd6Pd12: relaxed, PBE.

Calculated values
ΔE_f in kcal/mol of atoms: -4.14
Mass density in g/cm³: 9.14
M_tot in Bohr magnetons per cell: 0.00
Total energy in eV/atom: -3.84

The structure in CIF format:
```
data_SrCd6Pd12
_space_group_name_H-M_alt 'R -3 m'
_space_group_IT_number 166
_space_group_name_Hall '-R 3 2"'
_cell_length_a 11.9999
_cell_length_b 11.9999
_cell_length_c 8.9162
_cell_angle_alpha 90.00
_cell_angle_beta 90.00
_cell_angle_gamma 120.00
loop_
_atom_site_label
_atom_site_type_symbol
_atom_site_fract_x
_atom_site_fract_y
_atom_site_fract_z
Sr1 Sr 0.0000 0.0000 0.0000
Cd1 Cd 0.0584 0.5292 0.2360
Pd1 Pd 0.0000 0.3879 0.5000
Pd2 Pd 0.0807 0.1613 0.2867
```

Record 11
SrCd9Pd2: relaxed, PBE.

Calculated values
ΔE_f in kcal/mol of atoms: -6.34
Mass density in g/cm³: 8.12
M_tot in Bohr magnetons per cell: 0.00
Total energy in eV/atom: -1.97

The structure in CIF format:
```
data_SrCd9Pd2
_space_group_name_H-M_alt 'I 41/a m d'
_space_group_IT_number 141
_cell_length_a 11.815
_cell_length_b 11.815
_cell_length_c 7.686
_cell_angle_alpha 90.00
_cell_angle_beta 90.00
_cell_angle_gamma 90.00
loop_
_space_group_symop_operation_xyz
'x,y,z'
'-x,-y,-z'
'-y+1/4,x+3/4,z+1/4'
'y+1/4,-x+3/4,-z+1/4'
'-x+1/2,-y,z+1/2'
'x+1/2,y,-z+1/2'
'y+1/4,-x+1/4,z+3/4'
'-y+1/4,x+1/4,-z+3/4'
'x,-y,-z'
'-x,y,z'
'-y+1/4,-x+1/4,-z+3/4'
'y+1/4,x+1/4,z+3/4'
'-x+1/2,y,-z+1/2'
'x+1/2,-y,z+1/2'
'y+1/4,x+3/4,-z+1/4'
'-y+1/4,-x+3/4,z+1/4'
'x+1/2,y+1/2,z+1/2'
'-x+1/2,-y+1/2,-z+1/2'
'-y+3/4,x+1/4,z+3/4'
'y+3/4,-x+1/4,-z+3/4'
'-x,-y+1/2,z'
'x,y+1/2,-z'
'y+3/4,-x+3/4,z+1/4'
'-y+3/4,x+3/4,-z+1/4'
'x+1/2,-y+1/2,-z+1/2'
'-x+1/2,y+1/2,z+1/2'
'-y+3/4,-x+3/4,-z+1/4'
'y+3/4,x+3/4,z+1/4'
'-x,y+1/2,-z'
'x,-y+1/2,z'
'y+3/4,x+1/4,-z+3/4'
'-y+3/4,-x+1/4,z+3/4'
loop_
_atom_site_label
_atom_site_type_symbol
_atom_site_fract_x
_atom_site_fract_y
_atom_site_fract_z
Sr1 Sr 0.000 0.250 0.375
Cd1 Cd 0.000 0.250 0.875
Cd2 Cd 0.121 0.049 0.684
Pd1 Pd 0.000 0.000 0.000
```

Record 12
Sr2CdPd2: relaxed, PBE.

Calculated values
ΔE_f in kcal/mol of atoms: -13.85
Mass density in g/cm³: 6.37
M_tot in Bohr magnetons per cell: 0.00
Total energy in eV/atom: -3.53

The structure in CIF format:
```
data_Sr2CdPd2
_space_group_name_H-M_alt 'C 1 2/c 1'
_space_group_IT_number 15
_cell_length_a 10.539
_cell_length_b 5.974
_cell_length_c 8.562
_cell_angle_alpha 90.00
_cell_angle_beta 104.50
_cell_angle_gamma 90.00
loop_
_space_group_symop_operation_xyz
'x,y,z'
'-x,-y,-z'
'-x,y,-z+1/2'
'x,-y,z+1/2'
'x+1/2,y+1/2,z'
'-x+1/2,-y+1/2,-z'
'-x+1/2,y+1/2,-z+1/2'
'x+1/2,-y+1/2,z+1/2'
loop_
_atom_site_label
_atom_site_type_symbol
_atom_site_fract_x
_atom_site_fract_y
_atom_site_fract_z
Sr1 Sr 0.148 0.145 0.148
Cd1 Cd 0.000 0.362 0.750
Pd1 Pd 0.136 0.360 0.505
```